{"formula": "MoIrPt2", "functional": "GGA-PBE", "state": "relaxed", "e_form_kcal_per_mol_atoms": -1.6, "dos_at_fermi_per_ev_cell": 5.24, "dft_energy_ev_per_atom": -8.0120, "space_group": "R-3m", "de_polymorph_ev_per_fu": 0.73, "lattice_angstrom": [[9.330, 0.011, 0.006], [8.914, 2.754, 0.006], [8.914, 1.351, 2.400]], "species": ["Ir", "Mo", "Pt", "Pt"], "fractional_positions": [[0.250, 0.250, 0.250], [0.750, 0.750, 0.750], [0.002, 0.002, 0.002], [0.498, 0.498, 0.498]]}

{"formula": "Sr3Li3Pb2", "functional": "GGA-PBE", "state": "relaxed", "e_form_kcal_per_mol_atoms": -8.1, "dos_at_fermi_per_ev_cell": 14.58, "dft_energy_ev_per_atom": -2.6280, "space_group": "Pnma", "lattice_angstrom": [[-1.548, -1.336, -6.060], [6.301, -6.752, -0.121], [-11.941, -11.242, 5.529]], "species": ["Sr", "Sr", "Sr", "Sr", "Sr", "Sr", "Sr", "Sr", "Sr", "Sr", "Sr", "Sr", "Li", "Li", "Li", "Li", "Li", "Li", "Li", "Li", "Li", "Li", "Li", "Li", "Pb", "Pb", "Pb", "Pb", "Pb", "Pb", "Pb", "Pb"], "fractional_positions": [[0.132, 0.457, 0.398], [0.632, 0.043, 0.602], [0.868, 0.543, 0.898], [0.368, 0.957, 0.102], [0.868, 0.543, 0.602], [0.368, 0.957, 0.398], [0.132, 0.457, 0.102], [0.632, 0.043, 0.898], [0.654, 0.345, 0.250], [0.154, 0.155, 0.750], [0.346, 0.655, 0.750], [0.846, 0.845, 0.250], [0.108, 0.166, 0.250], [0.608, 0.334, 0.750], [0.892, 0.834, 0.750], [0.392, 0.666, 0.250], [0.609, 0.335, 0.464], [0.109, 0.165, 0.536], [0.391, 0.665, 0.964], [0.891, 0.835, 0.036], [0.391, 0.665, 0.536], [0.891, 0.835, 0.464], [0.609, 0.335, 0.036], [0.109, 0.165, 0.964], [0.866, 0.122, 0.395], [0.366, 0.378, 0.605], [0.134, 0.878, 0.895], [0.634, 0.622, 0.105], [0.134, 0.878, 0.605], [0.634, 0.622, 0.395], [0.866, 0.122, 0.105], [0.366, 0.378, 0.895]]}

{"formula": "Zr2ZnRe", "functional": "GGA-PBE", "state": "relaxed", "e_form_kcal_per_mol_atoms": -1.4, "dos_at_fermi_per_ev_cell": 3.22, "dft_energy_ev_per_atom": -7.7645, "space_group": "Cmmm", "lattice_angstrom": [[2.962, 0.004, 0.000], [-0.991, 2.791, 0.000], [0.000, 0.000, 9.053]], "species": ["Re", "Zn", "Zr", "Zr"], "fractional_positions": [[0.500, 0.500, 0.250], [0.500, 0.500, 0.750], [0.000, 0.000, 0.012], [0.000, 0.000, 0.488]]}

{"formula": "RbCl", "functional": "GGA-PBE", "state": "relaxed", "dos_at_fermi_per_ev_cell": 0.00, "raw_formation_energy_ev_per_atom": -1.883, "dft_energy_ev_per_atom": -3.2902, "space_group": "Pm-3m", "lattice_angstrom": [[4.001, 0.000, 0.000], [0.000, 4.001, 0.000], [0.000, 0.000, 4.001]], "species": ["Rb", "Cl"], "fractional_positions": [[0.000, 0.000, 0.000], [0.500, 0.500, 0.500]]}

{"formula": "Sc7P2C2", "functional": "GGA-PBE", "state": "relaxed", "e_form_kcal_per_mol_atoms": -14.6, "dos_at_fermi_per_ev_cell": 7.78, "dft_energy_ev_per_atom": -7.3214, "space_group": "Imm2", "lattice_angstrom": [[3.465, 0.000, 0.000], [1.733, 7.555, -0.497], [1.733, 3.144, 6.887]], "species": ["Sc", "Sc", "Sc", "Sc", "Sc", "Sc", "Sc", "P", "P", "C", "C"], "fractional_positions": [[0.807, 0.099, 0.286], [0.861, 0.380, 0.898], [0.500, 0.006, 0.994], [0.628, 0.486, 0.258], [0.372, 0.742, 0.514], [0.193, 0.714, 0.901], [0.139, 0.102, 0.620], [0.000, 0.769, 0.231], [0.500, 0.360, 0.640], [0.733, 0.864, 0.669], [0.267, 0.331, 0.136]]}

{"formula": "RbBiF2", "functional": "GGA-PBE", "state": "relaxed", "dos_at_fermi_per_ev_cell": 3.18, "raw_formation_energy_ev_per_atom": -1.619, "dft_energy_ev_per_atom": -3.7663, "space_group": "I-42d", "de_polymorph_ev_per_fu": 1.72, "lattice_angstrom": [[6.996, 0.000, 0.000], [0.000, 6.996, 0.000], [3.498, 3.498, 3.940]], "species": ["Bi", "Bi", "Rb", "Rb", "F", "F", "F", "F"], "fractional_positions": [[0.000, 0.000, 0.000], [0.750, 0.250, 0.500], [0.500, 0.500, 0.000], [0.250, 0.750, 0.500], [0.650, 0.125, 0.250], [0.100, 0.625, 0.250], [0.375, 0.350, 0.750], [0.875, 0.900, 0.750]]}